# 1
First-principles (GGA-PBE) data for Cd2Co2Sb after structural relaxation, as listed in the Alexandria database.

The structure belongs to space group P4/mbm (No. 127); the cell edges are 6.399, 6.399 and 4.290 Å and the angles 90.00°, 90.00° and 90.00°. Symmetry generates all atoms from Cd at (0.161, 0.339, 0.000), Co at (0.134, 0.634, 0.500) and Sb at (0.000, 0.000, 0.500).

The value obtained for the distance to the lowest polymorph of the same formula is 0 meV/atom. Its crystal system is tetragonal.

# 2
First-principles (GGA-PBE) data for RbAcAu after structural relaxation, as listed in the Alexandria database.

The structure belongs to space group P4/nmm (No. 129, origin choice 2); the cell edges are 5.631, 5.631 and 8.541 Å and the angles 90.00°, 90.00° and 90.00°. Symmetry generates all atoms from Rb at (0.250, 0.250, 0.097), Ac at (0.250, 0.750, 0.500) and Au at (0.250, 0.250, 0.670).

Its energy of formation from the pure elements is -0.334 eV per atom. Its crystal system is tetragonal.

# 3
First-principles (GGA-PBE) data for Pr3Nd6Er2 after structural relaxation, as listed in the Alexandria database.

The structure belongs to space group I4/mmm (No. 139); the cell edges are 4.866, 4.866 and 33.816 Å and the angles 90.00°, 90.00° and 90.00°. Symmetry generates all atoms from Pr at (0.000, 0.000, 0.000), Pr at (0.000, 0.000, 0.203), Nd at (0.000, 0.000, 0.305), Nd at (0.000, 0.500, 0.118) and Er at (0.000, 0.000, 0.455).

Its energy of formation from the pure elements is 0.269 eV per atom. The value obtained for the distance to the lowest polymorph of the same formula is 168 meV/atom. Its crystal system is tetragonal.